The following is a PBE-GGA calculation of a relaxed structure of Er6CdHg2, from Alexandria via LeMat-Bulk.

Cell: 8.687 8.687 8.687 Å, 107.08 111.89 109.48°
Sites, in units of the cell vectors:
1 Er 0.547 0.727 0.820
2 Er 0.453 0.273 0.180
3 Er 0.093 0.273 0.820
4 Er 0.907 0.727 0.180
5 Er 0.803 0.752 0.554
6 Er 0.197 0.248 0.446
7 Er 0.197 0.752 0.949
8 Er 0.803 0.248 0.051
9 Er 0.721 0.398 0.677
10 Er 0.279 0.602 0.323
11 Er 0.279 0.956 0.677
12 Er 0.721 0.044 0.323
13 Cd 0.000 0.500 0.500
14 Cd 0.000 0.000 0.000
15 Hg 0.500 0.362 0.862
16 Hg 0.500 0.638 0.138
17 Hg 0.652 0.000 0.652
18 Hg 0.348 0.000 0.348

Output
Space-group type   No. 71
VASP energy   -62.059 eV for the cell shown
Formation energy   -0.24 eV/atom
Magnetization   0.0000 μB per atom